1.
Pm2HoGe after structural relaxation, computed with PBE-GGA.

Output
total magnetization = 0.7 μB per cell
symmetry = No. 166
energy of formation = -3.4 meV per atom
ΔE to the lowest computed polymorph = 329.3 meV/atom
final energy = -4.677 eV per atom

a = 11.214 Å, b = 11.214 Å, c = 11.214 Å
α = 18.79°, β = 18.79°, γ = 18.79°
Atoms (fractional coordinates):
Pm 0.104 0.104 0.104
Pm 0.896 0.896 0.896
Ho 0.000 0.000 0.000
Ge 0.500 0.500 0.500

2.
PmHoGe2 after structural relaxation, computed with PBE-GGA.

Output
total magnetization = 0.0 μB per cell
symmetry = No. 166
energy of formation = -687.1 meV per atom
final energy = -5.328 eV per atom

a = 6.011 Å, b = 6.011 Å, c = 6.011 Å
α = 45.44°, β = 45.44°, γ = 45.44°
Atoms (fractional coordinates):
Pm 0.000 0.000 0.000
Ho 0.500 0.500 0.500
Ge 0.244 0.244 0.244
Ge 0.756 0.756 0.756

3.
Pm5HoGe5 after structural relaxation, computed with PBE-GGA.

Output
total magnetization = 0.1 μB per cell
symmetry = No. 12
energy of formation = -626.0 meV per atom
final energy = -5.300 eV per atom

a = 7.395 Å, b = 7.395 Å, c = 8.281 Å
α = 106.35°, β = 106.35°, γ = 47.57°
Atoms (fractional coordinates):
Pm 0.000 0.000 0.000
Pm 0.328 0.328 0.170
Pm 0.330 0.330 0.661
Pm 0.670 0.670 0.339
Pm 0.672 0.672 0.830
Ho 0.000 0.000 0.500
Ge 0.160 0.160 0.331
Ge 0.163 0.163 0.832
Ge 0.500 0.500 0.500
Ge 0.837 0.837 0.168
Ge 0.840 0.840 0.669

4.
PmHoGe after structural relaxation, computed with PBE-GGA.

Output
total magnetization = 0.0 μB per cell
symmetry = No. 63
energy of formation = -421.9 meV per atom
ΔE to the lowest computed polymorph = 108.9 meV/atom
final energy = -5.070 eV per atom

a = 7.167 Å, b = 7.167 Å, c = 4.934 Å
α = 90.00°, β = 90.00°, γ = 140.01°
Atoms (fractional coordinates):
Pm 0.109 0.891 0.750
Pm 0.891 0.109 0.250
Ho 0.388 0.612 0.750
Ho 0.612 0.388 0.250
Ge 0.250 0.750 0.250
Ge 0.750 0.250 0.750

5.
Pm3HoGe2 after structural relaxation, computed with PBE-GGA.

Output
total magnetization = 0.0 μB per cell
symmetry = No. 12
energy of formation = -563.6 meV per atom
final energy = -5.241 eV per atom

a = 9.019 Å, b = 9.019 Å, c = 9.478 Å
α = 115.22°, β = 115.22°, γ = 28.24°
Atoms (fractional coordinates):
Pm 0.045 0.045 0.195
Pm 0.311 0.311 0.614
Pm 0.345 0.345 0.024
Pm 0.655 0.655 0.976
Pm 0.689 0.689 0.386
Pm 0.955 0.955 0.805
Ho 0.114 0.114 0.625
Ho 0.886 0.886 0.375
Ge 0.244 0.244 0.224
Ge 0.496 0.496 0.635
Ge 0.504 0.504 0.365
Ge 0.756 0.756 0.776

6.
Pm4Ho3Ge4 after structural relaxation, computed with PBE-GGA.

Output
total magnetization = 0.0 μB per cell
symmetry = No. 71
energy of formation = -605.0 meV per atom
final energy = -5.260 eV per atom

a = 10.090 Å, b = 10.090 Å, c = 10.090 Å
α = 159.47°, β = 127.33°, γ = 57.12°
Atoms (fractional coordinates):
Pm 0.007 0.832 0.175
Pm 0.343 0.168 0.175
Pm 0.657 0.832 0.825
Pm 0.993 0.168 0.825
Ho 0.000 0.500 0.500
Ho 0.408 0.408 0.000
Ho 0.592 0.592 0.000
Ge 0.276 0.000 0.276
Ge 0.279 0.779 0.500
Ge 0.721 0.221 0.500
Ge 0.724 0.000 0.724

- Which of these has the lowest final energy?
  PmHoGe2